DFT (PBE-GGA) results for a geometry-optimized La2SbBr structure.

- crystal system = tetragonal
- E (eV per atom) = -4.71
- volume (Å³ per cell) = 700.8

abc: 6.9600 6.9600 14.4660
angles: 90.00 90.00 90.00
Space group I-42d (No. 122)
Inequivalent atoms, fractional coordinates:
1 La 0.2458 0.2500 0.1250 x8
2 Sb 0.0000 0.0000 0.5000 x4
3 Br 0.0000 0.0000 0.0000 x4

***

DFT (PBE-GGA) results for a geometry-optimized TlAg4 structure.

- crystal system = cubic
- E (eV per atom) = -1.94
- energy of formation from the pure elements (eV/atom) = 0.817
- volume (Å³ per cell) = 146.3

abc: 5.2697 5.2697 5.2697
angles: 90.00 90.00 90.00
Space group Pm-3m (No. 221)
Inequivalent atoms, fractional coordinates:
1 Tl 0.0000 0.0000 0.0000 x1
2 Ag 0.0000 0.0000 0.5000 x3
3 Ag 0.5000 0.5000 0.5000 x1

***

DFT (PBE-GGA) results for a geometry-optimized HfSc2Ag structure.

- crystal system = trigonal
- E (eV per atom) = -6.38
- offset from the most stable computed form (eV/atom) = 0.1155
- energy of formation from the pure elements (eV/atom) = -0.009
- volume (Å³ per cell) = 266.2

abc: 3.2499 3.2499 29.1046
angles: 90.00 90.00 120.00
Space group R3m (No. 160, hexagonal axes)
Inequivalent atoms, fractional coordinates:
1 Hf 0.0000 0.0000 0.0000 x3
2 Sc 0.0000 0.0000 0.5806 x3
3 Sc 0.0000 0.0000 0.7524 x3
4 Ag 0.0000 0.0000 0.1661 x3

***

DFT (PBE-GGA) results for a geometry-optimized Ti5Mo3Ru12 structure.

- crystal system = cubic
- E (eV per atom) = -8.37
- energy of formation from the pure elements (eV/atom) = 0.792
- volume (Å³ per cell) = 2985.3

abc: 14.3990 14.3990 14.3990
angles: 90.00 90.00 90.00
Space group Ia-3d (No. 230)
Inequivalent atoms, fractional coordinates:
1 Ti 0.0000 0.0000 0.0000 x16
2 Ti 0.0000 0.2500 0.3750 x24
3 Mo 0.0000 0.2500 0.1250 x24
4 Ru 0.0120 0.0781 0.6513 x96